(1)
Material: ScTl2Co
Method: DFT, PBE
State: relaxed

Unit cell a=5.612 b=5.612 c=5.612 alpha=144.46 beta=124.55 gamma=67.61
Fractional positions:
Sc 0.000 0.000 0.000
Tl 0.277 0.777 0.500
Tl 0.723 0.223 0.500
Co 0.500 0.500 0.000

The energy relative to the elements comes out at 0.690 eV per formula unit. As for the final energy: -4.37 eV/atom. The density of states at the Fermi level comes out at 0.877 states/eV/atom. For the total moment, the calculation gives 0.77 μB per cell. Its mass density is 10.2 g cm⁻³.

---

(2)
Material: Sc12TlCo6
Method: DFT, PBE
State: relaxed

Unit cell a=7.787 b=7.787 c=7.787 alpha=109.47 beta=109.47 gamma=109.47
Fractional positions:
Sc 0.099 0.297 0.803
Sc 0.197 0.494 0.297
Sc 0.197 0.901 0.703
Sc 0.297 0.197 0.494
Sc 0.297 0.803 0.099
Sc 0.494 0.297 0.197
Sc 0.506 0.703 0.803
Sc 0.703 0.197 0.901
Sc 0.703 0.803 0.506
Sc 0.803 0.099 0.297
Sc 0.803 0.506 0.703
Sc 0.901 0.703 0.197
Tl 0.000 0.000 0.000
Co 0.120 0.500 0.620
Co 0.380 0.880 0.500
Co 0.500 0.380 0.880
Co 0.500 0.620 0.120
Co 0.620 0.120 0.500
Co 0.880 0.500 0.380

The energy relative to the elements comes out at -5.581 eV per formula unit. As for the final energy: -6.66 eV/atom. The density of states at the Fermi level comes out at 0.923 states/eV/atom. For the total moment, the calculation gives 0.00 μB per cell. Its mass density is 5.0 g cm⁻³.

---

(3)
Material: Sc2TlCo
Method: DFT, PBE
State: relaxed

Unit cell a=3.478 b=3.478 c=8.381 alpha=100.26 beta=100.26 gamma=57.66
Fractional positions:
Sc 0.235 0.235 0.191
Sc 0.765 0.765 0.809
Tl 0.000 0.000 0.500
Co 0.500 0.500 0.000

The energy relative to the elements comes out at -0.623 eV per formula unit. As for the final energy: -5.69 eV/atom. The density of states at the Fermi level comes out at 0.733 states/eV/atom. For the total moment, the calculation gives 0.00 μB per cell. Its mass density is 7.0 g cm⁻³.

---

(4)
Material: ScTl2Co
Method: DFT, PBE
State: relaxed

Unit cell a=5.385 b=5.385 c=5.385 alpha=132.93 beta=132.93 gamma=68.77
Fractional positions:
Sc 0.000 0.000 0.000
Tl 0.250 0.750 0.500
Tl 0.500 0.500 0.000
Co 0.750 0.250 0.500

The energy relative to the elements comes out at 0.862 eV per formula unit. As for the final energy: -4.33 eV/atom. The density of states at the Fermi level comes out at 0.909 states/eV/atom. For the total moment, the calculation gives 1.22 μB per cell. Its mass density is 10.4 g cm⁻³.

---

(5)
Material: Sc6TlCo
Method: DFT, PBE
State: relaxed

Unit cell a=6.321 b=6.338 c=6.867 alpha=90.16 beta=117.21 gamma=119.89
Fractional positions:
Sc 0.064 0.085 0.263
Sc 0.284 0.698 0.262
Sc 0.321 0.520 0.738
Sc 0.679 0.480 0.262
Sc 0.716 0.302 0.738
Sc 0.936 0.915 0.737
Tl 0.500 0.000 0.000
Co 0.500 0.500 0.500

The energy relative to the elements comes out at 0.585 eV per formula unit. As for the final energy: -5.86 eV/atom. The density of states at the Fermi level comes out at 1.502 states/eV/atom. For the total moment, the calculation gives 0.00 μB per cell. Its mass density is 4.4 g cm⁻³.

---

(6)
Material: Sc5TlCo2
Method: DFT, PBE
State: relaxed

Unit cell a=8.085 b=8.085 c=8.085 alpha=127.51 beta=127.51 gamma=77.42
Fractional positions:
Sc 0.000 0.000 0.000
Sc 0.029 0.529 0.818
Sc 0.211 0.029 0.500
Sc 0.289 0.789 0.818
Sc 0.471 0.289 0.500
Sc 0.500 0.500 0.000
Sc 0.529 0.711 0.500
Sc 0.711 0.211 0.182
Sc 0.789 0.971 0.500
Sc 0.971 0.471 0.182
Tl 0.250 0.250 0.000
Tl 0.750 0.750 0.000
Co 0.136 0.364 0.500
Co 0.364 0.864 0.229
Co 0.636 0.136 0.771
Co 0.864 0.636 0.500

The energy relative to the elements comes out at -2.291 eV per formula unit. As for the final energy: -6.32 eV/atom. The density of states at the Fermi level comes out at 1.019 states/eV/atom. For the total moment, the calculation gives 0.00 μB per cell. Its mass density is 5.6 g cm⁻³.